(1)
Material: LiCrSb2
Method: DFT, SCAN
State: single point on PBEsol structure

Lattice parameters (Å, degrees): 4.1289 5.2918 5.2918 41.13 90.00 90.00
Sites, in units of the cell vectors:
Li1 0.0000 0.0000 0.0000
Cr1 0.5000 0.1768 0.1768
Sb1 0.0000 0.7233 0.7233
Sb2 0.5000 0.4607 0.4607

Calculated values
Relative energy among the computed polymorphs (meV per atom): 52
Space group: Amm2, No. 38

=====

(2)
Material: LiCrSb2
Method: DFT, SCAN
State: single point on PBEsol structure

Lattice parameters (Å, degrees): 3.7481 3.7481 5.5104 90.00 90.00 90.00
Sites, in units of the cell vectors:
Li1 0.0000 0.0000 0.0000
Cr1 0.5000 0.5000 0.6672
Sb1 0.0000 0.0000 0.5225
Sb2 0.5000 0.5000 0.1612

Calculated values
Relative energy among the computed polymorphs (meV per atom): 95
Space group: P4mm, No. 99

=====

(3)
Material: LiCrSb2
Method: DFT, SCAN
State: single point on PBEsol structure

Lattice parameters (Å, degrees): 5.6544 5.6544 5.6544 138.77 138.77 59.73
Sites, in units of the cell vectors:
Li1 0.0000 0.0000 0.0000
Cr1 0.2500 0.7500 0.5000
Sb1 0.5000 0.5000 0.0000
Sb2 0.7500 0.2500 0.5000

Calculated values
Relative energy among the computed polymorphs (meV per atom): 50
Space group: I-4m2, No. 119

=====

(4)
Material: LiCr2Sb
Method: DFT, SCAN
State: single point on PBEsol structure

Lattice parameters (Å, degrees): 9.1386 9.1386 9.1386 19.79 19.79 19.79
Sites, in units of the cell vectors:
Li1 0.0000 0.0000 0.0000
Cr1 0.2474 0.2474 0.2474
Cr2 0.7526 0.7526 0.7526
Sb1 0.5000 0.5000 0.5000

Calculated values
Space group: R-3m, No. 166
Electronic total energy (eV per atom): -18.685

=====

(5)
Material: LiSc2Cr
Method: DFT, SCAN
State: single point on PBEsol structure

Lattice parameters (Å, degrees): 4.8404 4.8404 5.5887 99.46 99.46 37.31
Sites, in units of the cell vectors:
Li1 0.0000 0.0000 0.0000
Sc1 0.2443 0.2443 0.7295
Sc2 0.7557 0.7557 0.2705
Cr1 0.5000 0.5000 0.5000

Calculated values
Space group: C2/m, No. 12
Electronic total energy (eV per atom): -12.062

=====

(6)
Material: Li2ScCr
Method: DFT, SCAN
State: single point on PBEsol structure

Lattice parameters (Å, degrees): 2.5849 2.5849 9.6038 90.00 90.00 90.00
Sites, in units of the cell vectors:
Li1 0.0000 0.0000 0.2239
Li2 0.0000 0.0000 0.7761
Sc1 0.5000 0.5000 0.5000
Cr1 0.5000 0.5000 0.0000

Calculated values
Relative energy among the computed polymorphs (meV per atom): 351
Space group: P4/mmm, No. 123

=====

(7)
Material: Li2ScCr
Method: DFT, SCAN
State: single point on PBEsol structure

Lattice parameters (Å, degrees): 3.4214 3.4214 6.0316 90.00 90.00 90.00
Sites, in units of the cell vectors:
Li1 0.0000 0.0000 0.2195
Li2 0.0000 0.0000 0.7805
Sc1 0.5000 0.5000 0.5000
Cr1 0.5000 0.5000 0.0000

Calculated values
Relative energy among the computed polymorphs (meV per atom): 88
Space group: P4/mmm, No. 123

=====

(8)
Material: LiSc2Cr
Method: DFT, SCAN
State: single point on PBEsol structure

Lattice parameters (Å, degrees): 5.5243 5.5243 5.5243 137.53 137.53 61.62
Sites, in units of the cell vectors:
Li1 0.0000 0.0000 0.0000
Sc1 0.5000 0.5000 0.0000
Sc2 0.7500 0.2500 0.5000
Cr1 0.2500 0.7500 0.5000

Calculated values
Space group: I-4m2, No. 119
Electronic total energy (eV per atom): -12.104

=====

(9)
Material: Li2ScCr
Method: DFT, SCAN
State: single point on PBEsol structure

Lattice parameters (Å, degrees): 5.6629 5.6629 5.6629 147.14 133.55 58.06
Sites, in units of the cell vectors:
Li1 0.2332 0.2332 0.0000
Li2 0.7668 0.7668 0.0000
Sc1 0.5000 0.0000 0.5000
Cr1 0.0000 0.5000 0.5000

Calculated values
Relative energy among the computed polymorphs (meV per atom): 0
Space group: Immm, No. 71

=====

(10)
Material: LiSc2Cr
Method: DFT, SCAN
State: single point on PBEsol structure

Lattice parameters (Å, degrees): 4.7398 4.7398 4.7398 60.00 60.00 60.00
Sites, in units of the cell vectors:
Li1 0.0000 0.0000 0.0000
Sc1 0.5000 0.5000 0.5000
Sc2 0.7500 0.7500 0.7500
Cr1 0.2500 0.2500 0.2500

Calculated values
Space group: F-43m, No. 216
Electronic total energy (eV per atom): -12.054

=====

(11)
Material: Li2ScCr
Method: DFT, SCAN
State: single point on PBEsol structure

Lattice parameters (Å, degrees): 5.7414 5.7414 2.9753 102.32 102.32 123.94
Sites, in units of the cell vectors:
Li1 0.0000 0.5000 0.0000
Li2 0.5000 0.0000 0.0000
Sc1 0.0000 0.0000 0.5000
Cr1 0.5000 0.5000 0.5000

Calculated values
Relative energy among the computed polymorphs (meV per atom): 68
Space group: C2/m, No. 12

=====

(12)
Material: LiSc4Cr
Method: DFT, SCAN
State: single point on PBEsol structure

Lattice parameters (Å, degrees): 5.7922 5.7922 5.7922 60.00 60.00 60.00
Sites, in units of the cell vectors:
Li1 0.0000 0.0000 0.0000
Sc1 0.1296 0.6235 0.6235
Sc2 0.6235 0.1296 0.6235
Sc3 0.6235 0.6235 0.1296
Sc4 0.6235 0.6235 0.6235
Cr1 0.2500 0.2500 0.2500

Calculated values
Space group: F-43m, No. 216
Electronic total energy (eV per atom): -12.448

=====

(13)
Material: LiCrSe4
Method: DFT, SCAN
State: single point on PBEsol structure

Lattice parameters (Å, degrees): 5.6840 5.6840 5.6840 60.00 60.00 60.00
Sites, in units of the cell vectors:
Li1 0.0000 0.0000 0.0000
Cr1 0.2500 0.2500 0.2500
Se1 0.1260 0.6247 0.6247
Se2 0.6247 0.1260 0.6247
Se3 0.6247 0.6247 0.1260
Se4 0.6247 0.6247 0.6247

Calculated values
Space group: F-43m, No. 216
Electronic total energy (eV per atom): -16.536

=====

(14)
Material: LiCr2Si
Method: DFT, SCAN
State: single point on PBEsol structure

Lattice parameters (Å, degrees): 4.2761 4.2761 4.5710 94.44 94.44 33.17
Sites, in units of the cell vectors:
Li1 0.0000 0.0000 0.0000
Cr1 0.5156 0.5156 0.5024
Cr2 0.7578 0.7578 0.2732
Si1 0.2517 0.2517 0.7697

Calculated values
Space group: Cm, No. 8
Electronic total energy (eV per atom): -12.114

=====

(15)
Material: LiCrSi2
Method: DFT, SCAN
State: single point on PBEsol structure

Lattice parameters (Å, degrees): 8.2614 8.2614 8.2614 19.09 19.09 19.09
Sites, in units of the cell vectors:
Li1 0.0000 0.0000 0.0000
Cr1 0.5000 0.5000 0.5000
Si1 0.2431 0.2431 0.2431
Si2 0.7569 0.7569 0.7569

Calculated values
Relative energy among the computed polymorphs (meV per atom): 90
Space group: R-3m, No. 166

=====

(16)
Material: LiCr2Si
Method: DFT, SCAN
State: single point on PBEsol structure

Lattice parameters (Å, degrees): 3.9682 3.9682 3.9682 60.00 60.00 60.00
Sites, in units of the cell vectors:
Li1 0.0000 0.0000 0.0000
Cr1 0.2500 0.2500 0.2500
Cr2 0.5000 0.5000 0.5000
Si1 0.7500 0.7500 0.7500

Calculated values
Space group: F-43m, No. 216
Electronic total energy (eV per atom): -12.399

=====

(17)
Material: LiCrSi2
Method: DFT, SCAN
State: single point on PBEsol structure

Lattice parameters (Å, degrees): 2.5873 2.5873 7.7483 90.00 90.00 90.00
Sites, in units of the cell vectors:
Li1 0.0000 0.0000 0.0000
Cr1 0.0000 0.0000 0.5000
Si1 0.5000 0.5000 0.2763
Si2 0.5000 0.5000 0.7237

Calculated values
Relative energy among the computed polymorphs (meV per atom): 0
Space group: P4/mmm, No. 123

=====

(18)
Material: LiCrSi2
Method: DFT, SCAN
State: single point on PBEsol structure

Lattice parameters (Å, degrees): 4.4804 4.4804 2.4957 90.00 90.00 109.91
Sites, in units of the cell vectors:
Li1 0.0000 0.0000 0.0000
Cr1 0.5000 0.5000 0.0000
Si1 0.0000 0.5000 0.5000
Si2 0.5000 0.0000 0.5000

Calculated values
Relative energy among the computed polymorphs (meV per atom): 83
Space group: Cmmm, No. 65

=====

(19)
Material: LiCrSi
Method: DFT, SCAN
State: single point on PBEsol structure

Lattice parameters (Å, degrees): 6.3946 6.3946 6.3946 157.65 157.65 31.81
Sites, in units of the cell vectors:
Li1 0.0000 0.0000 0.0000
Cr1 0.3160 0.3160 0.0000
Si1 0.6712 0.6712 0.0000

Calculated values
Space group: I4mm, No. 107
Electronic total energy (eV per atom): -10.080

=====

(20)
Material: LiCr3Si
Method: DFT, SCAN
State: single point on PBEsol structure

Lattice parameters (Å, degrees): 4.6054 4.6054 4.6054 90.00 90.00 90.00
Sites, in units of the cell vectors:
Li1 0.0000 0.0000 0.0000
Cr1 0.0000 0.5000 0.5000
Cr2 0.5000 0.0000 0.5000
Cr3 0.5000 0.5000 0.0000
Si1 0.5000 0.5000 0.5000

Calculated values
Space group: Pm-3m, No. 221
Electronic total energy (eV per atom): -12.855

=====

(21)
Material: LiCr2Si
Method: DFT, SCAN
State: single point on PBEsol structure

Lattice parameters (Å, degrees): 2.4351 2.4351 8.2054 90.00 90.00 90.00
Sites, in units of the cell vectors:
Li1 0.0000 0.0000 0.0000
Cr1 0.0000 0.0000 0.4739
Cr2 0.5000 0.5000 0.7177
Si1 0.5000 0.5000 0.2517

Calculated values
Space group: P4mm, No. 99
Electronic total energy (eV per atom): -12.029

=====

(22)
Material: LiCr2Si
Method: DFT, SCAN
State: single point on PBEsol structure

Lattice parameters (Å, degrees): 4.5524 4.5524 2.4319 90.00 90.00 116.67
Sites, in units of the cell vectors:
Li1 0.0000 0.0000 0.0000
Cr1 0.0000 0.5000 0.5000
Cr2 0.5000 0.0000 0.5000
Si1 0.5000 0.5000 0.0000

Calculated values
Space group: Cmmm, No. 65
Electronic total energy (eV per atom): -12.060

=====

(23)
Material: SrLi2Cr
Method: DFT, SCAN
State: single point on PBEsol structure

Lattice parameters (Å, degrees): 3.3861 4.9614 6.0893 90.00 99.00 90.00
Sites, in units of the cell vectors:
Sr1 0.0000 0.0000 0.0000
Li1 0.2763 0.5000 0.6871
Li2 0.7237 0.5000 0.3129
Cr1 0.5000 0.0000 0.5000

Calculated values
Relative energy among the computed polymorphs (meV per atom): 54
Space group: P2/m, No. 10

=====

(24)
Material: SrLi2Cr
Method: DFT, SCAN
State: single point on PBEsol structure

Lattice parameters (Å, degrees): 3.6814 3.6814 7.5744 90.00 90.00 90.00
Sites, in units of the cell vectors:
Sr1 0.0000 0.0000 0.0000
Li1 0.0000 0.0000 0.4688
Li2 0.5000 0.5000 0.6646
Cr1 0.5000 0.5000 0.2872

Calculated values
Relative energy among the computed polymorphs (meV per atom): 0
Space group: P4mm, No. 99

=====

(25)
Material: Sr3LiCr
Method: DFT, SCAN
State: single point on PBEsol structure

Lattice parameters (Å, degrees): 6.0111 6.0111 6.0111 90.00 90.00 90.00
Sites, in units of the cell vectors:
Sr1 0.0000 0.0000 0.5000
Sr2 0.0000 0.5000 0.0000
Sr3 0.5000 0.0000 0.0000
Li1 0.0000 0.0000 0.0000
Cr1 0.5000 0.5000 0.5000

Calculated values
Space group: Pm-3m, No. 221
Electronic total energy (eV per atom): -16.935

=====

(26)
Material: SrLi2Cr
Method: DFT, SCAN
State: single point on PBEsol structure

Lattice parameters (Å, degrees): 3.7276 3.7276 7.1734 90.00 90.00 90.00
Sites, in units of the cell vectors:
Sr1 0.0000 0.0000 0.0000
Li1 0.5000 0.5000 0.3168
Li2 0.5000 0.5000 0.6832
Cr1 0.0000 0.0000 0.5000

Calculated values
Relative energy among the computed polymorphs (meV per atom): 17
Space group: P4/mmm, No. 123

=====

(27)
Material: LiTaCr
Method: DFT, SCAN
State: single point on PBEsol structure

Lattice parameters (Å, degrees): 4.6634 4.6634 4.6634 140.30 140.30 57.40
Sites, in units of the cell vectors:
Li1 0.0000 0.0000 0.0000
Ta1 0.6840 0.6840 0.0000
Cr1 0.3372 0.3372 0.0000

Calculated values
Space group: I4mm, No. 107
Electronic total energy (eV per atom): -28.626

=====

(28)
Material: Li3TaCr
Method: DFT, SCAN
State: single point on PBEsol structure

Lattice parameters (Å, degrees): 4.9462 4.9462 4.9462 90.00 90.00 90.00
Sites, in units of the cell vectors:
Li1 0.0000 0.0000 0.5000
Li2 0.0000 0.5000 0.0000
Li3 0.5000 0.0000 0.0000
Ta1 0.0000 0.0000 0.0000
Cr1 0.5000 0.5000 0.5000

Calculated values
Space group: Pm-3m, No. 221
Electronic total energy (eV per atom): -16.729

=====

(29)
Material: LiTa3Cr
Method: DFT, SCAN
State: single point on PBEsol structure

Lattice parameters (Å, degrees): 4.3423 4.3423 4.3423 90.00 90.00 90.00
Sites, in units of the cell vectors:
Li1 0.0000 0.0000 0.0000
Ta1 0.0000 0.0000 0.5000
Ta2 0.0000 0.5000 0.0000
Ta3 0.5000 0.0000 0.0000
Cr1 0.5000 0.5000 0.5000

Calculated values
Space group: Pm-3m, No. 221
Electronic total energy (eV per atom): -42.846

=====

(30)
Material: LiTaCr3
Method: DFT, SCAN
State: single point on PBEsol structure

Lattice parameters (Å, degrees): 3.9829 3.9829 3.9829 90.00 90.00 90.00
Sites, in units of the cell vectors:
Li1 0.0000 0.0000 0.0000
Ta1 0.5000 0.5000 0.5000
Cr1 0.0000 0.0000 0.5000
Cr2 0.0000 0.5000 0.0000
Cr3 0.5000 0.0000 0.0000

Calculated values
Space group: Pm-3m, No. 221
Electronic total energy (eV per atom): -23.700